[1]
VASP calculation (GGA-PBE) on an optimized crystal structure of Tb3Tl4BiS8.

```
Tb3Tl4BiS8
1.0
8.157 0.000 0.000
0.000 8.843 0.479
-4.078 -4.077 5.769
Tb Tl S Bi
3 4 8 1
Cartesian
2.039 2.383 3.124
4.078 4.421 0.239
-2.039 2.383 3.124
2.039 -2.039 2.885
-2.039 -2.039 2.885
4.078 0.000 0.000
0.000 0.000 0.000
6.077 2.493 0.347
4.078 0.495 3.174
1.999 2.272 5.901
0.000 0.491 3.229
0.000 4.271 3.074
-1.999 2.272 5.901
2.080 2.493 0.347
4.078 4.274 3.019
0.000 4.421 0.239
```

## Properties
Its mass density is 6.764 g/cm³. The value obtained for the formation energy from raw total energies is -1.221 eV per atom. Its volume is 432.1 Å³/f.u. The value obtained for the total energy is -79.79 eV per cell.

[2]
VASP calculation (GGA-PBE) on an optimized crystal structure of La2BiIr.

```
La2BiIr
1.0
-1.653 1.991 -3.664
0.765 -1.767 -4.051
-6.249 -3.813 -2.000
La Ir Bi
2 1 1
Cartesian
-5.004 -3.001 -2.120
-1.513 -0.720 -2.455
-0.650 0.111 -5.138
-3.537 -1.774 -4.861
```

## Properties
The density of states at the Fermi level is 0.160 states/eV/cell. Its mass density is 9.071 g/cm³. The formation energy from the elements comes out at -0.733 eV/atom. Its volume is 124.3 Å³/f.u. The value obtained for the total energy is -25.53 eV per cell.